A relaxed VTcPt crystal, computed with PBE.

Unit cell a=2.721 b=2.853 c=11.545 alpha=90.00 beta=99.79 gamma=90.00
Fractional positions:
Tc: 0.548 0.000 0.803
Tc: 0.548 0.500 0.303
Pt: 0.950 0.000 0.121
Pt: 0.950 0.500 0.621
V: 0.336 0.000 0.455
V: 0.336 0.500 0.955

Results
Spin magnetization ... 0.00 μB per cell
Offset from the most stable computed form ... 107 meV per atom
V ... 14.72 Å³/atom
E_form ... -260 meV per atom